(1)
! Mg2PdCl2 (PBE, relaxed); values from VASP
! - magnetic moment (μB/atom) = 0.000
&SYSTEM
  ibrav = 0, nat = 10, ntyp = 3
/
ATOMIC_SPECIES
Mg 24.30 Mg.upf
Cl 35.45 Cl.upf
Pd 106.42 Pd.upf
ATOMIC_POSITIONS crystal
Mg 0.705 0.795 0.500
Mg 0.795 0.295 0.500
Mg 0.295 0.205 0.500
Mg 0.205 0.705 0.500
Cl 0.630 0.130 0.000
Cl 0.130 0.370 0.000
Cl 0.870 0.630 0.000
Cl 0.370 0.870 0.000
Pd 0.500 0.500 0.000
Pd 0.000 0.000 0.000
CELL_PARAMETERS angstrom
-4.456 5.909 -2.140
-6.249 -4.444 0.740
-0.289 0.937 3.188


(2)
! Mg2PdCl2 (PBE, relaxed); values from VASP
! - magnetic moment (μB/atom) = 0.000
&SYSTEM
  ibrav = 0, nat = 5, ntyp = 3
/
ATOMIC_SPECIES
Cl 35.45 Cl.upf
Mg 24.30 Mg.upf
Pd 106.42 Pd.upf
ATOMIC_POSITIONS crystal
Cl 0.342 0.342 0.317
Cl 0.658 0.658 0.683
Mg 0.750 0.250 0.500
Mg 0.250 0.750 0.500
Pd 0.000 0.000 0.000
CELL_PARAMETERS angstrom
-2.013 0.075 -4.355
-4.352 -0.236 2.008
-3.359 4.538 -1.013


Winner for stability: (1)